TaReP | GGA-PBEsol | relaxed

a = 4.1639 Å, b = 4.1639 Å, c = 4.1639 Å
α = 60.00°, β = 60.00°, γ = 60.00°
Fractional positions:
Ta 0.0000 0.0000 0.0000
Re 0.2500 0.2500 0.2500
P 0.5000 0.5000 0.5000

total magnetization = 0.000 Bohr magnetons per cell
space group = F-43m
formation energy from the elements = 0.0826 eV/atom
total DFT energy (no corrections) = -10.476 eV/atom
volume = 17.017 Å³/atom